(1)
Mg4TlGa | Alexandria via LeMat-Bulk | PBE-GGA | optimized geometry; energy of formation from the pure elements = 0.0714 eV/atom; density of states at the Fermi level = 1.74 states/eV per cell; E above lowest polymorph = 102 meV per atom
1.0
-1.903 -5.201 -1.894
-0.842 -4.369 3.802
-5.433 -1.768 1.270
Mg Tl Ga
4 1 1
direct
0.124 0.625 0.625
0.625 0.625 0.124
0.625 0.124 0.625
0.625 0.625 0.625
0.250 0.250 0.250
0.000 0.000 0.000

(2)
Mg3Tl2Ga | Alexandria via LeMat-Bulk | PBE-GGA | optimized geometry; energy of formation from the pure elements = -0.0567 eV/atom; density of states at the Fermi level = 4.32 states/eV per cell; E above lowest polymorph = 6 meV per atom
1.0
-0.102 3.587 -3.589
-4.820 -2.462 -5.912
-5.600 3.112 3.269
Mg Tl Ga
6 4 2
direct
0.826 0.348 0.773
0.174 0.652 0.773
0.174 0.652 0.227
0.500 0.000 0.236
0.826 0.348 0.227
0.500 0.000 0.764
0.666 0.669 0.500
0.334 0.331 0.500
0.000 0.000 0.500
0.000 0.000 0.000
0.665 0.671 0.000
0.335 0.329 0.000

(3)
Mg2TlGa | Alexandria via LeMat-Bulk | PBE-GGA | optimized geometry; energy of formation from the pure elements = -0.0522 eV/atom; density of states at the Fermi level = 0.96 states/eV per cell; E above lowest polymorph = 19 meV per atom
1.0
4.170 0.000 0.000
0.000 4.604 0.000
0.000 0.000 4.604
Ga Tl Mg
1 1 2
direct
0.500 0.000 0.000
0.500 0.500 0.500
0.000 0.500 0.000
0.000 0.000 0.500

(4)
Mg5TlGa2 | Alexandria via LeMat-Bulk | PBE-GGA | optimized geometry; energy of formation from the pure elements = -0.0690 eV/atom; density of states at the Fermi level = 8.34 states/eV per cell
1.0
-4.271 -1.572 0.483
1.271 -1.665 5.823
-3.574 10.909 3.899
Tl Ga Mg
2 4 10
direct
0.000 0.000 0.500
0.000 0.500 0.000
0.500 0.177 0.859
0.500 0.823 0.141
0.500 0.323 0.359
0.500 0.677 0.641
0.000 0.428 0.754
0.000 0.072 0.254
0.000 0.500 0.500
0.500 0.208 0.616
0.000 0.928 0.746
0.000 0.572 0.246
0.500 0.708 0.884
0.000 0.000 0.000
0.500 0.792 0.384
0.500 0.292 0.116

(5)
Mg4TlGa3 | Alexandria via LeMat-Bulk | PBE-GGA | optimized geometry; energy of formation from the pure elements = -0.0857 eV/atom; density of states at the Fermi level = 5.92 states/eV per cell
1.0
4.828 0.000 0.000
0.000 7.140 0.000
0.000 0.000 9.653
Mg Tl Ga
8 2 6
direct
0.500 0.763 0.500
0.500 0.237 0.500
0.000 0.237 0.250
0.000 0.763 0.250
0.500 0.237 0.000
0.000 0.237 0.750
0.000 0.763 0.750
0.500 0.763 0.000
0.000 0.500 0.500
0.000 0.500 0.000
0.500 0.000 0.250
0.500 0.500 0.750
0.500 0.000 0.750
0.000 0.000 0.500
0.000 0.000 0.000
0.500 0.500 0.250

(6)
Mg4TlGa9 | Alexandria via LeMat-Bulk | PBE-GGA | optimized geometry; energy of formation from the pure elements = -0.0482 eV/atom; density of states at the Fermi level = 9.16 states/eV per cell
1.0
-7.372 -1.274 5.600
-5.015 -3.013 -7.288
8.207 -4.153 2.061
Ga Mg Tl
18 8 2
direct
0.950 0.799 0.000
0.936 0.212 0.648
0.436 0.936 0.648
0.050 0.201 0.000
0.212 0.712 0.648
0.000 0.500 0.000
0.201 0.950 0.000
0.299 0.450 0.000
0.500 0.000 0.000
0.712 0.436 0.648
0.064 0.788 0.352
0.788 0.288 0.352
0.288 0.564 0.352
0.701 0.550 0.000
0.564 0.064 0.352
0.450 0.701 0.000
0.799 0.050 0.000
0.550 0.299 0.000
0.060 0.560 0.747
0.813 0.940 0.253
0.187 0.060 0.747
0.440 0.313 0.253
0.560 0.687 0.747
0.687 0.187 0.747
0.940 0.440 0.253
0.313 0.813 0.253
0.250 0.250 0.500
0.750 0.750 0.500

(7)
Mg4TlGa | Alexandria via LeMat-Bulk | PBE-GGA | optimized geometry; energy of formation from the pure elements = -0.0306 eV/atom; density of states at the Fermi level = 3.27 states/eV per cell; E above lowest polymorph = 0 meV per atom
1.0
-3.010 -4.065 -4.075
-3.732 -2.122 4.873
-4.748 4.985 -1.466
Mg Ga Tl
8 2 2
direct
0.250 0.750 0.774
0.750 0.750 0.226
0.250 0.250 0.226
0.750 0.250 0.774
0.250 0.750 0.226
0.250 0.250 0.774
0.750 0.250 0.226
0.750 0.750 0.774
0.500 0.500 0.000
0.000 0.000 0.000
0.000 0.500 0.500
0.500 0.000 0.500

(8)
MgTl2Ga2 | Alexandria via LeMat-Bulk | PBE-GGA | optimized geometry; energy of formation from the pure elements = 0.0740 eV/atom; density of states at the Fermi level = 2.40 states/eV per cell; E above lowest polymorph = 21 meV per atom
1.0
3.756 0.000 0.000
0.000 3.756 0.000
1.878 1.878 8.931
Ga Tl Mg
2 2 1
direct
0.250 0.750 0.500
0.750 0.250 0.500
0.396 0.396 0.207
0.604 0.604 0.793
0.000 0.000 0.000

(9)
MgTl2Ga2 | Alexandria via LeMat-Bulk | PBE-GGA | optimized geometry; energy of formation from the pure elements = 0.1437 eV/atom; density of states at the Fermi level = 4.63 states/eV per cell; E above lowest polymorph = 90 meV per atom
1.0
-8.092 -0.316 1.591
-1.472 -1.977 -7.876
0.313 -3.666 0.862
Ga Tl Mg
4 4 2
direct
0.872 0.372 0.500
0.372 0.128 0.500
0.628 0.872 0.500
0.128 0.628 0.500
0.832 0.668 0.000
0.168 0.332 0.000
0.332 0.832 0.000
0.668 0.168 0.000
0.000 0.000 0.000
0.500 0.500 0.000

(10)
Mg3TlGa | Alexandria via LeMat-Bulk | PBE-GGA | optimized geometry; energy of formation from the pure elements = 0.0254 eV/atom; density of states at the Fermi level = 4.57 states/eV per cell; E above lowest polymorph = 62 meV per atom
1.0
5.520 0.000 0.000
0.000 6.185 -3.566
0.000 0.002 7.139
Mg Tl Ga
6 2 2
direct
0.250 0.808 0.192
0.750 0.192 0.383
0.750 0.192 0.808
0.750 0.617 0.808
0.250 0.808 0.617
0.250 0.383 0.192
0.750 0.666 0.334
0.250 0.334 0.666
0.500 0.000 0.000
0.000 0.000 0.000

(11)
Mg4Tl3Ga | Alexandria via LeMat-Bulk | PBE-GGA | optimized geometry; energy of formation from the pure elements = -0.0523 eV/atom; density of states at the Fermi level = 2.78 states/eV per cell
1.0
3.416 0.000 0.000
0.000 3.416 0.000
0.000 0.000 16.228
Ga Tl Mg
1 3 4
direct
0.500 0.500 0.000
0.500 0.500 0.500
0.500 0.500 0.761
0.500 0.500 0.239
0.000 0.000 0.369
0.000 0.000 0.631
0.000 0.000 0.895
0.000 0.000 0.105

Question: Look up the energy of formation from the pure elements of the seventh one.
Answer: -0.0306 eV/atom

Question: Look up the density of states at the Fermi level of the seventh one.
Answer: 3.27 states/eV per cell